A plane-wave DFT calculation with PBE-GGA was carried out for a relaxed structure of Na2BSbS4.

Cell lengths 8.6299, 7.2810, 5.8512 Å; angles 90.00, 90.00, 90.00 degrees
Last column: nearest neighbours and their distance in Å.
Space group Pmn2_1 (No. 31)
Asymmetric unit:
Na 0.2472 0.1640 0.0000  4 S 2.73-2.83
B 0.0000 0.3528 0.5422  4 S 1.92-1.97
Sb 0.0000 0.6901 0.0157  2 S 2.43-2.51
S 0.0000 0.3758 0.8780  1 B 1.97
S 0.0000 0.6082 0.4320  1 B 1.97
S 0.1832 0.2145 0.4695  1 B 1.92

* Fermi-level density of states: 0.000 states/eV per atom
* total DFT energy (no corrections): -4.3604 eV per atom

***

A plane-wave DFT calculation with PBE-GGA was carried out for a relaxed structure of ZnP2Rh.

Cell lengths 3.8018, 3.8018, 7.8443 Å; angles 90.00, 90.00, 90.00 degrees
Last column: nearest neighbours and their distance in Å.
Space group I-4m2 (No. 119)
Asymmetric unit:
Zn 0.0000 0.0000 0.0000  8 P 2.69-2.73, 4 Rh 2.73
P 0.0000 0.0000 0.5000  4 Zn 2.69, 4 Rh 2.73, 4 P 2.73
P 0.0000 0.5000 0.7500  4 Rh 2.69, 4 Zn 2.73, 4 P 2.73
Rh 0.0000 0.5000 0.2500  8 P 2.69-2.73, 4 Zn 2.73

* formation energy: 144 meV per atom
* Fermi-level density of states: 0.434 states/eV per atom
* total DFT energy (no corrections): -4.7169 eV per atom

***

A plane-wave DFT calculation with PBE-GGA was carried out for a relaxed structure of Ac6LaHo.

Cell lengths 17.3805, 6.4196, 6.5844 Å; angles 90.00, 111.98, 90.00 degrees
Last column: nearest neighbours and their distance in Å.
Space group C2/m (No. 12)
Asymmetric unit:
Ac 0.1214 0.0000 0.0846  2 La 3.63-4.03, 2 Ho 3.77, 5 Ac 3.84-3.99
Ac 0.1229 0.5000 0.6672  1 Ho 3.59, 2 La 3.78, 5 Ac 3.80-4.01
Ac 0.2468 0.5000 0.2989  10 Ac 3.80-4.14, 1 Ho 3.99, 1 La 4.09
La 0.0000 0.0000 0.5000  8 Ac 3.63-4.03
Ho 0.0000 0.5000 0.0000  8 Ac 3.59-3.99

* formation energy: 110 meV per atom
* Fermi-level density of states: 1.687 states/eV per atom
* total DFT energy (no corrections): -4.1599 eV per atom

***

A plane-wave DFT calculation with PBE-GGA was carried out for a relaxed structure of Ag2AsCl2.

Cell lengths 4.9148, 4.9148, 11.1886 Å; angles 90.00, 90.00, 90.00 degrees
Last column: nearest neighbours and their distance in Å.
Space group I4/mmm (No. 139)
Asymmetric unit:
Ag 0.0000 0.5000 0.2500  4 Cl 2.67
As 0.0000 0.0000 0.0000  8 Ag 3.72, 10 Cl 3.84-3.89
Cl 0.0000 0.0000 0.3434  4 Ag 2.67

* Fermi-level density of states: 0.000 states/eV per atom
* total DFT energy (no corrections): -2.5534 eV per atom

***

A plane-wave DFT calculation with PBE-GGA was carried out for a relaxed structure of RbPa2Se7.

Cell lengths 10.0598, 13.1534, 5.4661 Å; angles 90.00, 90.00, 90.00 degrees
Last column: nearest neighbours and their distance in Å.
Space group Cmmm (No. 65)
Asymmetric unit:
Rb 0.0000 0.0000 0.0000  10 Se 3.74-4.05
Pa 0.0000 0.2974 0.5000  7 Se 2.67-2.90
Se 0.0000 0.2843 0.0000  2 Pa 2.74
Se 0.0000 0.5000 0.5000  2 Pa 2.67
Se 0.2192 0.1540 0.5000  1 Se 2.60, 2 Pa 2.90

* Fermi-level density of states: 0.453 states/eV per atom
* total DFT energy (no corrections): -5.4035 eV per atom

***

Copy entry 3 word for word.
A plane-wave DFT calculation with PBE-GGA was carried out for a relaxed structure of Ac6LaHo.

Cell lengths 17.3805, 6.4196, 6.5844 Å; angles 90.00, 111.98, 90.00 degrees
Last column: nearest neighbours and their distance in Å.
Space group C2/m (No. 12)
Asymmetric unit:
Ac 0.1214 0.0000 0.0846  2 La 3.63-4.03, 2 Ho 3.77, 5 Ac 3.84-3.99
Ac 0.1229 0.5000 0.6672  1 Ho 3.59, 2 La 3.78, 5 Ac 3.80-4.01
Ac 0.2468 0.5000 0.2989  10 Ac 3.80-4.14, 1 Ho 3.99, 1 La 4.09
La 0.0000 0.0000 0.5000  8 Ac 3.63-4.03
Ho 0.0000 0.5000 0.0000  8 Ac 3.59-3.99

* formation energy: 110 meV per atom
* Fermi-level density of states: 1.687 states/eV per atom
* total DFT energy (no corrections): -4.1599 eV per atom

***

Repeat the second record exactly.
A plane-wave DFT calculation with PBE-GGA was carried out for a relaxed structure of ZnP2Rh.

Cell lengths 3.8018, 3.8018, 7.8443 Å; angles 90.00, 90.00, 90.00 degrees
Last column: nearest neighbours and their distance in Å.
Space group I-4m2 (No. 119)
Asymmetric unit:
Zn 0.0000 0.0000 0.0000  8 P 2.69-2.73, 4 Rh 2.73
P 0.0000 0.0000 0.5000  4 Zn 2.69, 4 Rh 2.73, 4 P 2.73
P 0.0000 0.5000 0.7500  4 Rh 2.69, 4 Zn 2.73, 4 P 2.73
Rh 0.0000 0.5000 0.2500  8 P 2.69-2.73, 4 Zn 2.73

* formation energy: 144 meV per atom
* Fermi-level density of states: 0.434 states/eV per atom
* total DFT energy (no corrections): -4.7169 eV per atom

***

Question: The highest Fermi-level density of states belongs to which entry?
Answer: Ac6LaHo